Ba3Ag8Sn | GGA-PBE | relaxed

Density (g/cm³): 7.62
Energy (eV/cell): -34.33
Space group: R3m

```
Ba3Ag8Sn
1.0
5.9427 0.0000 0.0000
2.9713 5.1465 0.0000
2.9713 1.7155 9.9239
Ba Sn Ag
3 1 8
Cartesian
5.9427 3.4310 8.6409
5.9427 3.4310 4.8149
8.9140 5.1465 0.1861
8.9140 5.1465 3.8313
8.9140 5.1465 9.2822
2.9713 1.7155 4.3118
10.3963 6.0023 6.7768
7.4492 2.5612 1.8882
8.9140 3.4349 6.7768
5.9427 5.1706 1.8882
4.4362 2.5612 1.8882
7.4317 6.0023 6.7768
```